The following is a SCAN calculation of a crystal of MgTl2Fe relaxed with PBEsol, from Alexandria via LeMat-Bulk.

## Properties
electronic total energy = -41.666 eV per atom

CIF file:
```
data_MgTl2Fe
_cell_length_a 9.271
_cell_length_b 3.237
_cell_length_c 5.603
_cell_angle_alpha 90.00
_cell_angle_beta 103.19
_cell_angle_gamma 90.00
_space_group_name_H-M_alt 'C 1 2/m 1'
_space_group_IT_number 12
_space_group_name_Hall '-C 2y'
loop_
_atom_site_label
_atom_site_fract_x
_atom_site_fract_y
_atom_site_fract_z
Mg1 0.000 0.000 0.000
Tl1 0.239 0.000 0.731
Fe1 0.000 0.500 0.500
```